[1]
# Sc2Mn2Ir, PBEsol geometry, DFT meta-GGA SCAN
data_Sc2Mn2Ir
_cell_length_a 3.116
_cell_length_b 3.116
_cell_length_c 16.002
_cell_angle_alpha 90.00
_cell_angle_beta 90.00
_cell_angle_gamma 90.00
_space_group_name_H-M_alt 'I 4/m m m'
_space_group_IT_number 139
_space_group_name_Hall '-I 4 2'
loop_
_atom_site_label
_atom_site_type_symbol
_atom_site_fract_x
_atom_site_fract_y
_atom_site_fract_z
Sc1 Sc 0.000 0.000 0.104
Mn1 Mn 0.000 0.500 0.250
Ir1 Ir 0.000 0.000 0.500
# - DOS at the Fermi energy (states/eV/atom) = 0.653
# - size of the total moment (μB per formula unit) = 0.000
# - energy of formation (eV per atom) = -0.218

***

[2]
# SrLi2Au2, PBEsol geometry, DFT meta-GGA SCAN
data_SrLi2Au2
_cell_length_a 4.136
_cell_length_b 4.136
_cell_length_c 12.475
_cell_angle_alpha 90.00
_cell_angle_beta 90.00
_cell_angle_gamma 90.00
_space_group_name_H-M_alt 'I 4/m m m'
_space_group_IT_number 139
_space_group_name_Hall '-I 4 2'
loop_
_atom_site_label
_atom_site_type_symbol
_atom_site_fract_x
_atom_site_fract_y
_atom_site_fract_z
Sr1 Sr 0.000 0.000 0.000
Li1 Li 0.000 0.500 0.250
Au1 Au 0.000 0.000 0.388
# - DOS at the Fermi energy (states/eV/atom) = 0.395
# - size of the total moment (μB per formula unit) = 0.000
# - energy of formation (eV per atom) = -0.725

***

[3]
# NaYTiNbO6F, PBEsol geometry, DFT meta-GGA SCAN
data_NaYTiNbO6F
_cell_length_a 7.247
_cell_length_b 7.247
_cell_length_c 10.252
_cell_angle_alpha 90.00
_cell_angle_beta 90.00
_cell_angle_gamma 90.00
_space_group_name_H-M_alt 'P 41 2 2'
_space_group_IT_number 91
loop_
_space_group_symop_operation_xyz
'x,y,z'
'-y,x,z+1/4'
'-x,-y,z+1/2'
'y,-x,z+3/4'
'x,-y,-z+1/2'
'-y,-x,-z+1/4'
'-x,y,-z'
'y,x,-z+3/4'
loop_
_atom_site_label
_atom_site_type_symbol
_atom_site_fract_x
_atom_site_fract_y
_atom_site_fract_z
Na1 Na 0.000 0.233 0.000
Y1 Y 0.220 0.500 0.750
Ti1 Ti 0.266 0.500 0.250
Nb1 Nb 0.000 0.263 0.500
O1 O 0.050 0.457 0.367
O2 O 0.065 0.065 0.375
O3 O 0.252 0.279 0.577
O4 O 0.455 0.455 0.375
F1 F 0.254 0.254 0.875
# - DOS at the Fermi energy (states/eV/atom) = 0.000
# - size of the total moment (μB per formula unit) = 0.000
# - offset from the most stable computed form (meV per atom) = 0
# - formation energy from raw total energies (meV/atom) = -3237

***

[4]
# ReAg2Se, PBEsol geometry, DFT meta-GGA SCAN
data_ReAg2Se
_cell_length_a 6.358
_cell_length_b 6.358
_cell_length_c 6.358
_cell_angle_alpha 90.00
_cell_angle_beta 90.00
_cell_angle_gamma 90.00
_space_group_name_H-M_alt 'F -4 3 m'
_space_group_IT_number 216
_space_group_name_Hall 'F -4 2 3'
loop_
_atom_site_label
_atom_site_type_symbol
_atom_site_fract_x
_atom_site_fract_y
_atom_site_fract_z
Re1 Re 0.000 0.000 0.000
Ag1 Ag 0.000 0.000 0.500
Ag2 Ag 0.250 0.250 0.250
Se1 Se 0.250 0.250 0.750
# - DOS at the Fermi energy (states/eV/atom) = 0.558
# - size of the total moment (μB per formula unit) = 0.000
# - formation energy from raw total energies (meV/atom) = 925

***

[5]
# BeCuOs2, PBEsol geometry, DFT meta-GGA SCAN
data_BeCuOs2
_cell_length_a 2.703
_cell_length_b 3.624
_cell_length_c 5.106
_cell_angle_alpha 90.00
_cell_angle_beta 90.00
_cell_angle_gamma 90.00
_space_group_name_H-M_alt 'P m m 2'
_space_group_IT_number 25
loop_
_space_group_symop_operation_xyz
'x,y,z'
'-x,-y,z'
'-x,y,z'
'x,-y,z'
loop_
_atom_site_label
_atom_site_type_symbol
_atom_site_fract_x
_atom_site_fract_y
_atom_site_fract_z
Be1 Be 0.000 0.000 0.000
Cu1 Cu 0.500 0.500 0.202
Os1 Os 0.000 0.000 0.489
Os2 Os 0.500 0.500 0.716
# - DOS at the Fermi energy (states/eV/atom) = 0.353
# - size of the total moment (μB per formula unit) = 0.000
# - energy of formation (eV per atom) = 0.108

***

[6]
# LaYSc2, PBEsol geometry, DFT meta-GGA SCAN
data_LaYSc2
_cell_length_a 3.572
_cell_length_b 5.581
_cell_length_c 11.148
_cell_angle_alpha 90.00
_cell_angle_beta 90.00
_cell_angle_gamma 90.00
_space_group_name_H-M_alt 'C m m m'
_space_group_IT_number 65
_space_group_name_Hall '-C 2 2'
loop_
_atom_site_label
_atom_site_type_symbol
_atom_site_fract_x
_atom_site_fract_y
_atom_site_fract_z
La1 La 0.000 0.000 0.000
Y1 Y 0.000 0.000 0.500
Sc1 Sc 0.000 0.500 0.257
# - DOS at the Fermi energy (states/eV/atom) = 1.772
# - size of the total moment (μB per formula unit) = 0.000
# - offset from the most stable computed form (meV per atom) = 113
# - energy of formation (eV per atom) = 0.182

***

[7]
# TcHgOs3, PBEsol geometry, DFT meta-GGA SCAN
data_TcHgOs3
_cell_length_a 4.616
_cell_length_b 4.616
_cell_length_c 4.616
_cell_angle_alpha 90.00
_cell_angle_beta 90.00
_cell_angle_gamma 90.00
_space_group_name_H-M_alt 'P m -3 m'
_space_group_IT_number 221
_space_group_name_Hall '-P 4 2 3'
loop_
_atom_site_label
_atom_site_type_symbol
_atom_site_fract_x
_atom_site_fract_y
_atom_site_fract_z
Tc1 Tc 0.000 0.000 0.000
Hg1 Hg 0.500 0.500 0.500
Os1 Os 0.000 0.000 0.500
# - DOS at the Fermi energy (states/eV/atom) = 1.035
# - size of the total moment (μB per formula unit) = 0.001
# - energy of formation (eV per atom) = 2.293

***

[8]
# TaSbTe2, PBEsol geometry, DFT meta-GGA SCAN
data_TaSbTe2
_cell_length_a 3.421
_cell_length_b 4.711
_cell_length_c 13.125
_cell_angle_alpha 90.00
_cell_angle_beta 90.00
_cell_angle_gamma 90.00
_space_group_name_H-M_alt 'I m m 2'
_space_group_IT_number 44
loop_
_space_group_symop_operation_xyz
'x,y,z'
'-x,-y,z'
'-x,y,z'
'x,-y,z'
'x+1/2,y+1/2,z+1/2'
'-x+1/2,-y+1/2,z+1/2'
'-x+1/2,y+1/2,z+1/2'
'x+1/2,-y+1/2,z+1/2'
loop_
_atom_site_label
_atom_site_type_symbol
_atom_site_fract_x
_atom_site_fract_y
_atom_site_fract_z
Ta1 Ta 0.000 0.000 0.000
Sb1 Sb 0.000 0.500 0.315
Te1 Te 0.000 0.000 0.459
Te2 Te 0.000 0.500 0.665
# - DOS at the Fermi energy (states/eV/atom) = 0.615
# - size of the total moment (μB per formula unit) = 0.000
# - formation energy from raw total energies (meV/atom) = 202

***

[9]
# PAu2Br, PBEsol geometry, DFT meta-GGA SCAN
data_PAu2Br
_cell_length_a 3.7519
_cell_length_b 3.7519
_cell_length_c 20.0143
_cell_angle_alpha 90.00
_cell_angle_beta 90.00
_cell_angle_gamma 120.00
_space_group_name_H-M_alt 'R 3 m'
_space_group_IT_number 160
_space_group_name_Hall 'R 3 -2"'
loop_
_atom_site_label
_atom_site_type_symbol
_atom_site_fract_x
_atom_site_fract_y
_atom_site_fract_z
P1 P 0.0000 0.0000 0.0000
Au1 Au 0.0000 0.0000 0.4676
Au2 Au 0.0000 0.0000 0.7197
Br1 Br 0.0000 0.0000 0.2157
# - DOS at the Fermi energy (states/eV/atom) = 0.336
# - size of the total moment (μB per formula unit) = 0.000
# - offset from the most stable computed form (meV per atom) = 0
# - formation energy from raw total energies (meV/atom) = 88

***

[10]
# U2TlSe6, PBEsol geometry, DFT meta-GGA SCAN
data_U2TlSe6
_cell_length_a 3.898
_cell_length_b 5.483
_cell_length_c 21.427
_cell_angle_alpha 90.00
_cell_angle_beta 90.00
_cell_angle_gamma 90.00
_space_group_name_H-M_alt 'I m m m'
_space_group_IT_number 71
_space_group_name_Hall '-I 2 2'
loop_
_atom_site_label
_atom_site_type_symbol
_atom_site_fract_x
_atom_site_fract_y
_atom_site_fract_z
U1 U 0.000 0.000 0.181
Tl1 Tl 0.000 0.500 0.000
Se1 Se 0.000 0.248 0.392
Se2 Se 0.000 0.500 0.223
# - DOS at the Fermi energy (states/eV/atom) = 1.144
# - size of the total moment (μB per formula unit) = 3.529
# - formation energy from raw total energies (meV/atom) = -902

***

[11]
# Be4AlZn, PBEsol geometry, DFT meta-GGA SCAN
data_Be4AlZn
_cell_length_a 6.230
_cell_length_b 6.230
_cell_length_c 6.230
_cell_angle_alpha 90.00
_cell_angle_beta 90.00
_cell_angle_gamma 90.00
_space_group_name_H-M_alt 'F -4 3 m'
_space_group_IT_number 216
_space_group_name_Hall 'F -4 2 3'
loop_
_atom_site_label
_atom_site_type_symbol
_atom_site_fract_x
_atom_site_fract_y
_atom_site_fract_z
Be1 Be 0.124 0.124 0.124
Al1 Al 0.250 0.250 0.750
Zn1 Zn 0.000 0.000 0.500
# - DOS at the Fermi energy (states/eV/atom) = 0.256
# - size of the total moment (μB per formula unit) = 0.000
# - energy of formation (eV per atom) = 0.062

***

[12]
# Ta2CdPt, PBEsol geometry, DFT meta-GGA SCAN
data_Ta2CdPt
_cell_length_a 2.899
_cell_length_b 4.937
_cell_length_c 9.845
_cell_angle_alpha 90.00
_cell_angle_beta 90.00
_cell_angle_gamma 90.00
_space_group_name_H-M_alt 'I m m 2'
_space_group_IT_number 44
loop_
_space_group_symop_operation_xyz
'x,y,z'
'-x,-y,z'
'-x,y,z'
'x,-y,z'
'x+1/2,y+1/2,z+1/2'
'-x+1/2,-y+1/2,z+1/2'
'-x+1/2,y+1/2,z+1/2'
'x+1/2,-y+1/2,z+1/2'
loop_
_atom_site_label
_atom_site_type_symbol
_atom_site_fract_x
_atom_site_fract_y
_atom_site_fract_z
Ta1 Ta 0.000 0.000 0.000
Ta2 Ta 0.000 0.500 0.260
Cd1 Cd 0.000 0.500 0.784
Pt1 Pt 0.000 0.000 0.535
# - DOS at the Fermi energy (states/eV/atom) = 0.389
# - size of the total moment (μB per formula unit) = 0.000
# - energy of formation (eV per atom) = -0.097

***

[13]
# Y3Rh2, PBEsol geometry, DFT meta-GGA SCAN
data_Y3Rh2
_cell_length_a 4.7218
_cell_length_b 4.7218
_cell_length_c 5.8994
_cell_angle_alpha 90.00
_cell_angle_beta 90.00
_cell_angle_gamma 120.00
_space_group_name_H-M_alt 'P -3 m 1'
_space_group_IT_number 164
_space_group_name_Hall '-P 3 2"'
loop_
_atom_site_label
_atom_site_type_symbol
_atom_site_fract_x
_atom_site_fract_y
_atom_site_fract_z
Y1 Y 0.0000 0.0000 0.0000
Y2 Y 0.3333 0.6667 0.3352
Rh1 Rh 0.3333 0.6667 0.8369
# - DOS at the Fermi energy (states/eV/atom) = 0.560
# - size of the total moment (μB per formula unit) = 0.000
# - energy of formation (eV per atom) = -0.827